[1]
Below is a geometry-optimized Ti5Sn2Ge structure, with properties calculated at the PBE-GGA level.

ΔE_f ... 0.99 eV per formula unit
Calculated volume ... 21.62 Å³ per atom
SG ... Cmcm, No. 63
Theoretical density ... 5.27 g/cm3
Raw total energy ... -102.21 eV per cell
DOS(E_F) ... 15.8 states/eV/cell

a = 6.9877 Å, b = 6.9877 Å, c = 11.2142 Å
α = 90.00°, β = 90.00°, γ = 140.81°
Closest atoms and distances in Å follow each position.
Fractional coordinates of all 16 atoms:
Ti (0.1122, 0.8878, 0.6266)  6 Ti 2.77-3.04, 1 Ge 2.77, 2 Sn 2.78-2.83
Ti (0.1122, 0.8878, 0.8734)  6 Ti 2.77-3.04, 1 Ge 2.77, 2 Sn 2.78-2.83
Ti (0.3028, 0.6972, 0.5143)  1 Ge 2.65, 3 Ti 2.74-2.81, 2 Sn 2.91
Ti (0.3028, 0.6972, 0.9857)  1 Ge 2.65, 3 Ti 2.74-2.81, 2 Sn 2.91
Ti (0.3091, 0.6909, 0.2500)  2 Ge 2.71, 6 Ti 2.91-2.96
Ti (0.6909, 0.3091, 0.7500)  2 Ge 2.71, 6 Ti 2.91-2.96
Ti (0.6972, 0.3028, 0.0143)  1 Ge 2.65, 3 Ti 2.74-2.81, 2 Sn 2.91
Ti (0.6972, 0.3028, 0.4857)  1 Ge 2.65, 3 Ti 2.74-2.81, 2 Sn 2.91
Ti (0.8878, 0.1122, 0.1266)  6 Ti 2.77-3.04, 1 Ge 2.77, 2 Sn 2.78-2.83
Ti (0.8878, 0.1122, 0.3734)  6 Ti 2.77-3.04, 1 Ge 2.77, 2 Sn 2.78-2.83
Sn (0.1029, 0.8971, 0.1208)  6 Ti 2.78-3.08, 1 Sn 2.90, 2 Ge 3.07
Sn (0.1029, 0.8971, 0.3792)  6 Ti 2.78-3.08, 1 Sn 2.90, 2 Ge 3.07
Sn (0.8971, 0.1029, 0.6208)  6 Ti 2.78-3.08, 1 Sn 2.90, 2 Ge 3.07
Sn (0.8971, 0.1029, 0.8792)  6 Ti 2.78-3.08, 1 Sn 2.90, 2 Ge 3.07
Ge (0.2942, 0.7058, 0.7500)  6 Ti 2.65-2.77
Ge (0.7058, 0.2942, 0.2500)  6 Ti 2.65-2.77



[2]
Below is a geometry-optimized TiSn2Ge2 structure, with properties calculated at the PBE-GGA level.

ΔE_f ... 0.31 eV per formula unit
Energy above the most stable polymorph in this dataset ... 0 meV/atom
Calculated volume ... 21.34 Å³ per atom
SG ... P4/mbm, No. 127
Theoretical density ... 6.70 g/cm3
Raw total energy ... -49.65 eV per cell
DOS(E_F) ... 4.1 states/eV/cell

a = 6.9962 Å, b = 6.9962 Å, c = 4.3605 Å
α = 90.00°, β = 90.00°, γ = 90.00°
Closest atoms and distances in Å follow each position.
Fractional coordinates of all 10 atoms:
Ti (0.0000, 0.0000, 0.0000)  4 Ge 2.70
Ti (0.5000, 0.5000, 0.0000)  4 Ge 2.70
Sn (0.1689, 0.3311, 0.5000)  6 Ge 2.88-3.08
Sn (0.3311, 0.8311, 0.5000)  6 Ge 2.88-3.08
Sn (0.6689, 0.1689, 0.5000)  6 Ge 2.88-3.08
Sn (0.8311, 0.6689, 0.5000)  6 Ge 2.88-3.08
Ge (0.1404, 0.6404, 0.0000)  2 Ti 2.70, 1 Ge 2.78, 2 Sn 2.88
Ge (0.3596, 0.1404, 0.0000)  2 Ti 2.70, 1 Ge 2.78, 2 Sn 2.88
Ge (0.6404, 0.8596, 0.0000)  2 Ti 2.70, 1 Ge 2.78, 2 Sn 2.88
Ge (0.8596, 0.3596, 0.0000)  2 Ti 2.70, 1 Ge 2.78, 2 Sn 2.88



[3]
Below is a geometry-optimized Ti12Sn3Ge structure, with properties calculated at the PBE-GGA level.

ΔE_f ... -5.02 eV per formula unit
Calculated volume ... 17.51 Å³ per atom
SG ... Pmmm, No. 47
Theoretical density ... 5.94 g/cm3
Raw total energy ... -116.39 eV per cell
DOS(E_F) ... 25.6 states/eV/cell

a = 5.1921 Å, b = 5.1938 Å, c = 10.3910 Å
α = 90.00°, β = 90.00°, γ = 90.00°
Closest atoms and distances in Å follow each position.
Fractional coordinates of all 16 atoms:
Ti (0.0000, 0.0000, 0.1206)  2 Ti 2.51-2.62
Ti (0.0000, 0.0000, 0.3728)  2 Ti 2.62-2.64, 4 Sn 2.90-2.91
Ti (0.0000, 0.0000, 0.6272)  2 Ti 2.62-2.64, 4 Sn 2.90-2.91
Ti (0.0000, 0.0000, 0.8794)  2 Ti 2.51-2.62
Ti (0.2480, 0.5000, 0.5000)  2 Ti 2.57-2.62
Ti (0.2555, 0.5000, 0.0000)  2 Ti 2.54-2.65
Ti (0.5000, 0.2468, 0.2416)  2 Ti 2.56-2.63, 1 Ge 2.82
Ti (0.5000, 0.2468, 0.7584)  2 Ti 2.56-2.63, 1 Ge 2.82
Ti (0.5000, 0.7532, 0.2416)  2 Ti 2.56-2.63, 1 Ge 2.82
Ti (0.5000, 0.7532, 0.7584)  2 Ti 2.56-2.63, 1 Ge 2.82
Ti (0.7445, 0.5000, 0.0000)  2 Ti 2.54-2.65
Ti (0.7520, 0.5000, 0.5000)  2 Ti 2.57-2.62
Sn (0.0000, 0.5000, 0.2496)  12 Ti 2.90-2.92
Sn (0.0000, 0.5000, 0.7504)  12 Ti 2.90-2.92
Sn (0.5000, 0.0000, 0.5000)  12 Ti 2.91-2.98
Ge (0.5000, 0.0000, 0.0000)  12 Ti 2.82-2.89



[4]
Below is a geometry-optimized TiSn2Ge structure, with properties calculated at the PBE-GGA level.

ΔE_f ... 0.84 eV per formula unit
Calculated volume ... 22.76 Å³ per atom
SG ... I-42d, No. 122
Theoretical density ... 6.53 g/cm3
Raw total energy ... -78.73 eV per cell
DOS(E_F) ... 12.1 states/eV/cell

a = 7.8946 Å, b = 7.8946 Å, c = 5.8424 Å
α = 90.00°, β = 90.00°, γ = 90.00°
Closest atoms and distances in Å follow each position.
Fractional coordinates of all 16 atoms:
Ti (0.0000, 0.0000, 0.0000)  4 Sn 2.88, 2 Ge 2.92
Ti (0.0000, 0.5000, 0.2500)  4 Sn 2.88, 2 Ge 2.92
Ti (0.5000, 0.0000, 0.7500)  4 Sn 2.88, 2 Ge 2.92
Ti (0.5000, 0.5000, 0.5000)  4 Sn 2.88, 2 Ge 2.92
Sn (0.2490, 0.2500, 0.1250)  2 Ti 2.88, 2 Ge 2.89, 2 Sn 2.92
Sn (0.2500, 0.7490, 0.3750)  2 Ti 2.88, 2 Ge 2.89, 2 Sn 2.92
Sn (0.2500, 0.7510, 0.8750)  2 Ti 2.88, 2 Ge 2.89, 2 Sn 2.92
Sn (0.2510, 0.2500, 0.6250)  2 Ti 2.88, 2 Ge 2.89, 2 Sn 2.92
Sn (0.7490, 0.7500, 0.6250)  2 Ti 2.88, 2 Ge 2.89, 2 Sn 2.92
Sn (0.7500, 0.2490, 0.8750)  2 Ti 2.88, 2 Ge 2.89, 2 Sn 2.92
Sn (0.7500, 0.2510, 0.3750)  2 Ti 2.88, 2 Ge 2.89, 2 Sn 2.92
Sn (0.7510, 0.7500, 0.1250)  2 Ti 2.88, 2 Ge 2.89, 2 Sn 2.92
Ge (0.0000, 0.0000, 0.5000)  4 Sn 2.89, 2 Ti 2.92
Ge (0.0000, 0.5000, 0.7500)  4 Sn 2.89, 2 Ti 2.92
Ge (0.5000, 0.0000, 0.2500)  4 Sn 2.89, 2 Ti 2.92
Ge (0.5000, 0.5000, 0.0000)  4 Sn 2.89, 2 Ti 2.92



[5]
Below is a geometry-optimized Ti7Sn3Ge structure, with properties calculated at the PBE-GGA level.

ΔE_f ... -1.17 eV per formula unit
Calculated volume ... 19.41 Å³ per atom
SG ... Immm, No. 71
Theoretical density ... 5.94 g/cm3
Raw total energy ... -73.06 eV per cell
DOS(E_F) ... 10.5 states/eV/cell

a = 7.0312 Å, b = 7.0312 Å, c = 7.0312 Å
α = 138.22°, β = 105.54°, γ = 89.22°
Closest atoms and distances in Å follow each position.
Fractional coordinates of all 11 atoms:
Ti (0.0000, 0.0000, 0.0000)  2 Ge 2.51, 2 Sn 2.73
Ti (0.0865, 0.7505, 0.3360)  4 Ti 2.77-2.90, 4 Sn 2.86-2.88, 1 Ge 2.87
Ti (0.3035, 0.5000, 0.8035)  1 Ge 2.58, 2 Ti 2.77, 2 Sn 2.82
Ti (0.4144, 0.7505, 0.6640)  4 Ti 2.77-2.90, 4 Sn 2.86-2.88, 1 Ge 2.87
Ti (0.5856, 0.2495, 0.3360)  4 Ti 2.77-2.90, 4 Sn 2.86-2.88, 1 Ge 2.87
Ti (0.6965, 0.5000, 0.1965)  1 Ge 2.58, 2 Ti 2.77, 2 Sn 2.82
Ti (0.9135, 0.2495, 0.6640)  4 Ti 2.77-2.90, 4 Sn 2.86-2.88, 1 Ge 2.87
Sn (0.2732, 0.2732, 0.0000)  9 Ti 2.73-2.88
Sn (0.5000, 0.0000, 0.5000)  8 Ti 2.86-3.01
Sn (0.7268, 0.7268, 0.0000)  9 Ti 2.73-2.88
Ge (0.0000, 0.5000, 0.5000)  4 Ti 2.51-2.58



[6]
Below is a geometry-optimized Ti6Sn2Ge structure, with properties calculated at the PBE-GGA level.

ΔE_f ... -3.88 eV per formula unit
Calculated volume ... 18.24 Å³ per atom
SG ... P-62m, No. 189
Theoretical density ... 6.04 g/cm3
Raw total energy ... -63.87 eV per cell
DOS(E_F) ... 5.2 states/eV/cell

a = 7.2520 Å, b = 7.2520 Å, c = 3.6044 Å
α = 90.00°, β = 90.00°, γ = 120.00°
Closest atoms and distances in Å follow each position.
Fractional coordinates of all 9 atoms:
Ti (0.0000, 0.2463, 0.0000)  2 Ge 2.54, 2 Sn 2.79
Ti (0.0000, 0.6145, 0.5000)  1 Ge 2.80, 4 Sn 2.88, 4 Ti 3.04
Ti (0.2463, 0.0000, 0.0000)  2 Ge 2.54, 2 Sn 2.79
Ti (0.3855, 0.3855, 0.5000)  1 Ge 2.80, 4 Sn 2.88, 4 Ti 3.04
Ti (0.6145, 0.0000, 0.5000)  1 Ge 2.80, 4 Sn 2.88, 4 Ti 3.04
Ti (0.7537, 0.7537, 0.0000)  2 Ge 2.54, 2 Sn 2.79
Sn (0.3333, 0.6667, 0.0000)  9 Ti 2.79-2.88
Sn (0.6667, 0.3333, 0.0000)  9 Ti 2.79-2.88
Ge (0.0000, 0.0000, 0.5000)  9 Ti 2.54-2.80



[7]
Below is a geometry-optimized TiSnGe3 structure, with properties calculated at the PBE-GGA level.

ΔE_f ... 1.33 eV per formula unit
Energy above the most stable polymorph in this dataset ... 0 meV/atom
Calculated volume ... 24.21 Å³ per atom
SG ... Pm-3m, No. 221
Theoretical density ... 5.27 g/cm3
Raw total energy ... -24.42 eV per cell
DOS(E_F) ... 3.8 states/eV/cell

a = 4.9470 Å, b = 4.9470 Å, c = 4.9470 Å
α = 90.00°, β = 90.00°, γ = 90.00°
Closest atoms and distances in Å follow each position.
Fractional coordinates of all 5 atoms:
Ti (0.0000, 0.0000, 0.0000)  6 Ge 2.47
Sn (0.5000, 0.5000, 0.5000)  12 Ge 3.50
Ge (0.0000, 0.0000, 0.5000)  2 Ti 2.47
Ge (0.0000, 0.5000, 0.0000)  2 Ti 2.47
Ge (0.5000, 0.0000, 0.0000)  2 Ti 2.47



[8]
Below is a geometry-optimized TiSn2Ge2 structure, with properties calculated at the PBE-GGA level.

ΔE_f ... 1.97 eV per formula unit
Energy above the most stable polymorph in this dataset ... 331 meV/atom
Calculated volume ... 23.71 Å³ per atom
SG ... I4/mmm, No. 139
Theoretical density ... 6.03 g/cm3
Raw total energy ... -46.34 eV per cell
DOS(E_F) ... 8.3 states/eV/cell

a = 3.9893 Å, b = 3.9893 Å, c = 14.8963 Å
α = 90.00°, β = 90.00°, γ = 90.00°
Closest atoms and distances in Å follow each position.
Fractional coordinates of all 10 atoms:
Ti (0.0000, 0.0000, 0.0000)  8 Ge 3.07
Ti (0.5000, 0.5000, 0.5000)  8 Ge 3.07
Sn (0.0000, 0.5000, 0.2500)  4 Sn 2.82
Sn (0.0000, 0.5000, 0.7500)  4 Sn 2.82
Sn (0.5000, 0.0000, 0.2500)  4 Sn 2.82
Sn (0.5000, 0.0000, 0.7500)  4 Sn 2.82
Ge (0.0000, 0.0000, 0.4179)  1 Ge 2.45
Ge (0.0000, 0.0000, 0.5821)  1 Ge 2.45
Ge (0.5000, 0.5000, 0.0821)  1 Ge 2.45
Ge (0.5000, 0.5000, 0.9179)  1 Ge 2.45



[9]
Below is a geometry-optimized Ti5SnGe2 structure, with properties calculated at the PBE-GGA level.

ΔE_f ... -4.30 eV per formula unit
Calculated volume ... 17.17 Å³ per atom
SG ... I4/mcm, No. 140
Theoretical density ... 6.09 g/cm3
Raw total energy ... -114.03 eV per cell
DOS(E_F) ... 18.5 states/eV/cell

a = 7.6378 Å, b = 7.6378 Å, c = 7.6378 Å
α = 127.09°, β = 127.09°, γ = 78.10°
Closest atoms and distances in Å follow each position.
Fractional coordinates of all 16 atoms:
Ti (0.0000, 0.0000, 0.0000)  4 Ge 2.62
Ti (0.0059, 0.5059, 0.8112)  3 Ge 2.64-2.69, 2 Sn 2.83
Ti (0.1947, 0.0059, 0.5000)  3 Ge 2.64-2.69, 2 Sn 2.83
Ti (0.3053, 0.8053, 0.8112)  3 Ge 2.64-2.69, 2 Sn 2.83
Ti (0.4941, 0.3053, 0.5000)  3 Ge 2.64-2.69, 2 Sn 2.83
Ti (0.5000, 0.5000, 0.0000)  4 Ge 2.62
Ti (0.5059, 0.6947, 0.5000)  3 Ge 2.64-2.69, 2 Sn 2.83
Ti (0.6947, 0.1947, 0.1888)  3 Ge 2.64-2.69, 2 Sn 2.83
Ti (0.8053, 0.9941, 0.5000)  3 Ge 2.64-2.69, 2 Sn 2.83
Ti (0.9941, 0.4941, 0.1888)  3 Ge 2.64-2.69, 2 Sn 2.83
Sn (0.2500, 0.2500, 0.0000)  10 Ti 2.83-2.97
Sn (0.7500, 0.7500, 0.0000)  10 Ti 2.83-2.97
Ge (0.1413, 0.3587, 0.5000)  8 Ti 2.62-2.69, 1 Ge 2.72
Ge (0.3587, 0.8587, 0.2173)  8 Ti 2.62-2.69, 1 Ge 2.72
Ge (0.6413, 0.1413, 0.7827)  8 Ti 2.62-2.69, 1 Ge 2.72
Ge (0.8587, 0.6413, 0.5000)  8 Ti 2.62-2.69, 1 Ge 2.72



[10]
Below is a geometry-optimized TiZnSn2Ge structure, with properties calculated at the PBE-GGA level.

ΔE_f ... 4.00 eV per formula unit
Calculated volume ... 26.32 Å³ per atom
SG ... P4/mmm, No. 123
Theoretical density ... 5.34 g/cm3
Raw total energy ... -17.79 eV per cell
DOS(E_F) ... 6.9 states/eV/cell

a = 5.4095 Å, b = 5.4095 Å, c = 4.4980 Å
α = 90.00°, β = 90.00°, γ = 90.00°
Closest atoms and distances in Å follow each position.
Fractional coordinates of all 5 atoms:
Ti (0.0000, 0.0000, 0.0000)  8 Sn 3.52, 4 Zn 3.83
Zn (0.5000, 0.5000, 0.0000)  2 Ge 2.25
Sn (0.0000, 0.5000, 0.5000)  2 Ge 2.70
Sn (0.5000, 0.0000, 0.5000)  2 Ge 2.70
Ge (0.5000, 0.5000, 0.5000)  2 Zn 2.25



Look up the ΔE_f of the sixth one. -3.88 eV per formula unit



The lowest ΔE_f belongs to which entry? Ti12Sn3Ge



The lowest raw total energy belongs to which entry? Ti12Sn3Ge



Copy entry 3 word for word.
Below is a geometry-optimized Ti12Sn3Ge structure, with properties calculated at the PBE-GGA level.

ΔE_f ... -5.02 eV per formula unit
Calculated volume ... 17.51 Å³ per atom
SG ... Pmmm, No. 47
Theoretical density ... 5.94 g/cm3
Raw total energy ... -116.39 eV per cell
DOS(E_F) ... 25.6 states/eV/cell

a = 5.1921 Å, b = 5.1938 Å, c = 10.3910 Å
α = 90.00°, β = 90.00°, γ = 90.00°
Closest atoms and distances in Å follow each position.
Fractional coordinates of all 16 atoms:
Ti (0.0000, 0.0000, 0.1206)  2 Ti 2.51-2.62
Ti (0.0000, 0.0000, 0.3728)  2 Ti 2.62-2.64, 4 Sn 2.90-2.91
Ti (0.0000, 0.0000, 0.6272)  2 Ti 2.62-2.64, 4 Sn 2.90-2.91
Ti (0.0000, 0.0000, 0.8794)  2 Ti 2.51-2.62
Ti (0.2480, 0.5000, 0.5000)  2 Ti 2.57-2.62
Ti (0.2555, 0.5000, 0.0000)  2 Ti 2.54-2.65
Ti (0.5000, 0.2468, 0.2416)  2 Ti 2.56-2.63, 1 Ge 2.82
Ti (0.5000, 0.2468, 0.7584)  2 Ti 2.56-2.63, 1 Ge 2.82
Ti (0.5000, 0.7532, 0.2416)  2 Ti 2.56-2.63, 1 Ge 2.82
Ti (0.5000, 0.7532, 0.7584)  2 Ti 2.56-2.63, 1 Ge 2.82
Ti (0.7445, 0.5000, 0.0000)  2 Ti 2.54-2.65
Ti (0.7520, 0.5000, 0.5000)  2 Ti 2.57-2.62
Sn (0.0000, 0.5000, 0.2496)  12 Ti 2.90-2.92
Sn (0.0000, 0.5000, 0.7504)  12 Ti 2.90-2.92
Sn (0.5000, 0.0000, 0.5000)  12 Ti 2.91-2.98
Ge (0.5000, 0.0000, 0.0000)  12 Ti 2.82-2.89